1.
Compound: AlTl2Cr2Te6
Source: Alexandria via LeMat-Bulk
Functional: PBE
Structure: relaxed

## Properties
- ΔE_f (raw): -0.28 eV per atom
- Magnetic moment: 5.532 μB per cell

Cell and atoms, written as POSCAR:
```
AlTl2Cr2Te6
1.0
7.003 -0.059 0.069
-3.513 6.058 0.069
-1.243 -2.136 7.939
Cr Te Tl Al
2 6 2 1
direct
0.329 0.671 0.500
0.671 0.329 0.500
0.598 0.936 0.310
0.064 0.402 0.690
0.722 0.722 0.684
0.402 0.064 0.690
0.278 0.278 0.316
0.936 0.598 0.310
0.837 0.163 0.000
0.163 0.837 0.000
0.000 0.000 0.500
```

***

2.
Compound: RhClF2
Source: Alexandria via LeMat-Bulk
Functional: PBE
Structure: relaxed

## Properties
- ΔE_f (raw): -0.28 eV per atom
- Magnetic moment: 0.000 μB per cell
- Distance to the lowest polymorph of the same formula: 703 meV per atom

Cell and atoms, written as POSCAR:
```
RhClF2
1.0
4.316 0.000 0.000
0.000 4.316 0.000
2.158 2.158 6.908
F Rh Cl
4 2 2
direct
0.802 0.125 0.250
0.375 0.198 0.750
0.875 0.052 0.750
0.948 0.625 0.250
0.000 0.000 0.000
0.750 0.250 0.500
0.250 0.750 0.500
0.500 0.500 0.000
```

***

3.
Compound: Tm12Ni6Rh
Source: Alexandria via LeMat-Bulk
Functional: PBE
Structure: relaxed

## Properties
- Magnetic moment: 0.000 μB per cell
- Formation enthalpy at 0 K: -0.29 eV/atom

Cell and atoms, written as POSCAR:
```
Tm12Ni6Rh
1.0
7.902 -0.060 -0.072
-1.258 7.802 -0.072
-1.258 -1.465 7.663
Tm Ni Rh
12 6 1
direct
0.429 0.820 0.588
0.674 0.909 0.049
0.412 0.571 0.180
0.571 0.180 0.412
0.091 0.951 0.326
0.180 0.412 0.571
0.951 0.326 0.091
0.909 0.049 0.674
0.049 0.674 0.909
0.588 0.429 0.820
0.820 0.588 0.429
0.326 0.091 0.951
0.134 0.618 0.317
0.683 0.866 0.382
0.317 0.134 0.618
0.618 0.317 0.134
0.866 0.382 0.683
0.382 0.683 0.866
0.000 0.000 0.000
```